The following is a DFT calculation (GGA+U) of an optimized crystal structure of MnCuOsO6.

POSCAR file:
```
MnCuOsO6
1.0
-4.433 -0.174 -2.351
4.223 -0.993 -2.527
-0.768 -8.574 2.084
O Cu Os Mn
12 2 2 2
Cartesian
-3.025 -1.643 -2.955
-3.136 -3.284 -0.768
-1.660 -1.188 -0.580
0.999 -5.763 0.400
0.682 -8.553 -2.215
-0.720 -7.868 0.083
-0.381 -3.577 -0.958
2.047 -8.097 0.160
-0.258 -1.873 -2.878
-1.977 -3.978 -3.195
2.158 -6.457 -2.027
-0.597 -6.164 -1.837
0.000 0.000 0.000
-0.384 -4.287 1.042
-1.740 -2.591 -1.889
0.762 -7.150 -0.906
-2.124 -6.877 -0.847
1.146 -2.863 -1.948
```

* DFT total energy: -0.498 Ry/atom